[1]
CrNiW2 GGA-PBEsol optimized geometry; total energy = -10.769 eV per atom; total moment = 0.6 μB/f.u.; formation energy = 90 kJ/mol of formula units; DOS at the Fermi energy = 4.50 states/eV/cell
1.0
2.605 0.000 0.000
0.000 2.605 0.000
0.000 0.000 7.916
Cr Ni W
1 1 2
Cartesian
1.303 1.303 0.000 Cr
1.303 1.303 3.958 Ni
0.000 0.000 5.866 W
0.000 0.000 2.051 W

=====

[2]
CrNiW2 GGA-PBEsol optimized geometry; total energy = -10.875 eV per atom; total moment = 0.0 μB/f.u.; formation energy = 50 kJ/mol of formula units; DOS at the Fermi energy = 3.09 states/eV/cell
1.0
-1.718 -1.621 1.136
2.383 -0.719 0.823
-0.641 5.103 6.316
Cr Ni W
1 1 2
Cartesian
0.012 1.381 4.137 Cr
0.332 -1.170 0.979 Ni
-0.158 1.255 1.554 W
-0.483 3.848 4.762 W

=====

[3]
Cr2NiW GGA-PBEsol optimized geometry; total energy = -9.834 eV per atom; total moment = 0.0 μB/f.u.; formation energy = 107 kJ/mol of formula units; DOS at the Fermi energy = 4.56 states/eV/cell
1.0
2.467 0.000 0.000
0.000 3.788 0.000
0.000 0.000 5.279
Cr Ni W
2 1 1
Cartesian
0.000 0.000 4.111 Cr
0.000 0.000 1.167 Cr
1.233 1.894 0.000 Ni
1.233 1.894 2.639 W

=====

[4]
CrNiW2 GGA-PBEsol optimized geometry; total energy = -10.849 eV per atom; total moment = 0.0 μB/f.u.; formation energy = 60 kJ/mol of formula units; DOS at the Fermi energy = 3.59 states/eV/cell
1.0
2.621 0.004 0.000
-0.705 2.525 0.000
0.000 0.000 8.107
Cr Ni W
1 1 2
Cartesian
0.000 0.000 3.909 Cr
0.958 1.264 2.131 Ni
0.000 0.000 0.147 W
0.958 1.264 5.973 W

=====

[5]
YCr2Ni GGA-PBEsol optimized geometry; total energy = -7.803 eV per atom; total moment = 0.0 μB/f.u.; formation energy = 217 kJ/mol of formula units; DOS at the Fermi energy = 3.74 states/eV/cell
1.0
2.940 0.000 0.000
1.470 2.546 0.000
1.470 0.849 7.954
Cr Ni Y
2 1 1
Cartesian
1.470 0.849 7.522 Cr
4.410 2.546 6.048 Cr
2.940 1.697 4.285 Ni
1.470 0.849 2.030 Y

=====

[6]
Y2CrNi GGA-PBEsol optimized geometry; total energy = -7.369 eV per atom; total moment = 3.7 μB/f.u.; formation energy = 55 kJ/mol of formula units; DOS at the Fermi energy = 3.47 states/eV/cell
1.0
-2.263 2.668 -3.345
-0.259 -1.563 -4.574
-4.236 -1.479 -1.816
Cr Ni Y
1 1 2
Cartesian
-3.379 -0.187 -4.867 Cr
0.000 0.000 0.000 Ni
-5.069 -0.280 -7.301 Y
-1.690 -0.093 -2.434 Y

=====

[7]
YCr2Ni GGA-PBEsol optimized geometry; total energy = -7.863 eV per atom; total moment = 0.0 μB/f.u.; formation energy = 194 kJ/mol of formula units; DOS at the Fermi energy = 6.30 states/eV/cell
1.0
3.050 0.000 0.025
0.000 4.533 0.000
-0.923 0.000 4.500
Cr Ni Y
2 1 1
Cartesian
1.306 0.000 3.755 Cr
0.821 0.000 0.771 Cr
1.525 2.267 0.012 Ni
-0.462 2.267 2.250 Y

=====

[8]
ZnCrNi GGA-PBEsol optimized geometry; total energy = -5.584 eV per atom; total moment = 0.0 μB/f.u.; formation energy = 119 kJ/mol of formula units; DOS at the Fermi energy = 1.05 states/eV/cell
1.0
3.820 0.000 0.000
1.910 3.308 0.000
1.910 1.103 3.119
Cr Ni Zn
1 1 1
Cartesian
3.820 2.205 1.559 Cr
1.910 1.103 0.780 Ni
0.000 0.000 0.000 Zn

=====

[9]
ZnCrNi6 GGA-PBEsol optimized geometry; total energy = -6.189 eV per atom; total moment = 0.4 μB/f.u.; formation energy = -71 kJ/mol of formula units; DOS at the Fermi energy = 35.63 states/eV/cell
1.0
6.046 0.003 0.000
-2.015 5.700 0.000
0.000 0.000 9.889
Cr Ni Zn
4 24 4
Cartesian
0.015 4.265 0.000 Cr
4.016 1.438 0.000 Cr
2.015 2.852 7.362 Cr
2.015 2.852 2.527 Cr
0.021 4.261 7.474 Ni
4.024 3.535 8.679 Ni
0.007 2.168 8.679 Ni
4.010 1.442 7.474 Ni
2.042 0.730 8.679 Ni
1.989 4.974 8.679 Ni
2.015 2.852 4.944 Ni
0.034 2.158 6.211 Ni
2.023 0.753 6.211 Ni
0.021 4.261 2.414 Ni
3.997 3.545 3.677 Ni
0.034 2.158 3.677 Ni
4.010 1.442 2.414 Ni
2.023 0.753 3.677 Ni
2.008 4.951 3.677 Ni
2.015 2.852 0.000 Ni
0.007 2.168 1.210 Ni
2.042 0.730 1.210 Ni
0.000 0.000 4.944 Ni
2.008 4.951 6.211 Ni
3.997 3.545 6.211 Ni
0.000 0.000 0.000 Ni
1.989 4.974 1.210 Ni
4.024 3.535 1.210 Ni
-0.012 4.285 4.944 Zn
4.043 1.419 4.944 Zn
0.000 0.000 7.413 Zn
0.000 0.000 2.476 Zn

=====

[10]
ZnCrNi GGA-PBEsol optimized geometry; total energy = -5.898 eV per atom; total moment = 0.0 μB/f.u.; formation energy = 28 kJ/mol of formula units; DOS at the Fermi energy = 3.14 states/eV/cell
1.0
2.516 0.000 0.000
-1.258 2.179 0.000
0.000 0.000 6.294
Cr Ni Zn
1 1 1
Cartesian
0.000 0.000 6.197 Cr
0.000 1.453 4.249 Ni
1.258 0.726 2.141 Zn

=====

[11]
Zn2CrNi GGA-PBEsol optimized geometry; total energy = -4.801 eV per atom; total moment = 2.9 μB/f.u.; formation energy = 35 kJ/mol of formula units; DOS at the Fermi energy = 3.37 states/eV/cell
1.0
-3.016 0.895 -2.270
-1.817 -3.233 1.140
1.033 2.824 3.056
Cr Ni Zn
1 1 2
Cartesian
-2.416 -1.169 -0.565 Cr
-1.600 -0.788 1.815 Ni
0.000 0.000 0.000 Zn
-2.200 1.275 0.110 Zn

=====

[12]
ZrCr2Ni GGA-PBEsol optimized geometry; total energy = -8.571 eV per atom; total moment = 0.0 μB/f.u.; formation energy = 140 kJ/mol of formula units; DOS at the Fermi energy = 4.21 states/eV/cell
1.0
-2.200 -1.333 0.107
1.191 -1.859 1.323
-1.899 3.689 6.892
Cr Ni Zr
2 1 1
Cartesian
-1.496 2.907 5.430 Cr
-0.403 0.782 1.462 Cr
-0.504 -1.596 0.715 Ni
-1.454 0.249 4.161 Zr

=====

[13]
ZrCrNi6 GGA-PBEsol optimized geometry; total energy = -7.236 eV per atom; total moment = 2.3 μB/f.u.; formation energy = -155 kJ/mol of formula units; DOS at the Fermi energy = 23.87 states/eV/cell
1.0
-2.685 -5.618 0.230
1.423 1.897 5.762
-9.167 4.414 0.811
Cr Ni Zr
4 24 4
Cartesian
0.427 0.075 4.421 Cr
-1.689 -3.796 1.571 Cr
-7.566 1.479 3.610 Cr
-2.862 -0.786 3.194 Cr
-6.579 3.333 4.969 Ni
-9.526 0.163 4.462 Ni
-7.868 3.883 2.958 Ni
-8.595 -0.355 2.254 Ni
-8.913 1.971 1.550 Ni
-8.481 2.075 5.869 Ni
-5.214 0.346 3.402 Ni
-5.603 2.746 2.738 Ni
-6.612 0.901 1.379 Ni
-1.833 1.048 4.549 Ni
-4.825 -2.054 4.066 Ni
-3.206 1.592 2.526 Ni
-3.849 -2.640 1.834 Ni
-4.215 -0.254 1.167 Ni
-3.816 -0.208 5.424 Ni
-0.631 -1.861 2.996 Ni
-0.902 0.529 2.342 Ni
-1.948 -1.383 0.934 Ni
-4.583 2.207 0.405 Ni
-6.213 0.946 5.636 Ni
-7.222 -0.899 4.278 Ni
0.000 0.000 0.000 Ni
-1.515 -1.279 5.253 Ni
-2.561 -3.191 3.846 Ni
-4.174 2.250 4.803 Zr
-6.255 -1.557 2.000 Zr
-6.913 3.329 0.611 Zr
-2.254 1.085 0.199 Zr

=====

[14]
CrO3 GGA-PBEsol optimized geometry; total energy = -8.028 eV per atom; total moment = 0.0 μB/f.u.; raw formation energy = -1.530 eV per atom
1.0
5.307 0.000 0.000
0.000 5.683 0.000
0.000 0.000 7.861
Cr O
4 12
Cartesian
4.937 1.351 1.965 Cr
2.283 1.491 5.896 Cr
3.023 4.193 1.965 Cr
0.370 4.333 5.896 Cr
0.553 1.212 0.693 O
0.553 1.212 3.237 O
4.203 2.937 1.965 O
1.550 5.589 5.896 O
3.207 1.629 4.624 O
3.207 1.629 7.168 O
2.100 4.054 0.693 O
2.100 4.054 3.237 O
3.757 0.095 1.965 O
1.104 2.747 5.896 O
4.753 4.471 7.168 O
4.753 4.471 4.624 O

=====

[15]
Cr5O12 GGA-PBEsol optimized geometry; total energy = -8.503 eV per atom; total moment = 6.0 μB/f.u.; raw formation energy = -1.785 eV per atom; DOS at the Fermi energy = 5.42 states/eV/cell
1.0
-1.621 -2.493 -8.349
6.789 -5.599 0.354
-7.395 -8.711 4.038
Cr O
20 48
Cartesian
-3.925 -5.126 -0.059 Cr
1.698 -11.678 -3.898 Cr
-3.753 -8.135 -1.902 Cr
0.451 -9.687 2.449 Cr
-3.488 -10.059 -4.602 Cr
-1.317 -9.934 -0.356 Cr
-6.254 -8.952 0.309 Cr
-1.636 -14.675 -3.582 Cr
-4.878 -9.167 3.329 Cr
-2.294 -13.214 -0.668 Cr
2.001 -4.523 -6.094 Cr
3.167 -3.570 -1.901 Cr
0.066 -3.590 -3.289 Cr
2.651 -7.637 -7.286 Cr
-0.591 -2.128 -0.374 Cr
4.027 -7.852 -4.266 Cr
-0.910 -6.870 -3.600 Cr
1.261 -6.745 0.645 Cr
-2.678 -7.117 -6.406 Cr
1.526 -8.669 -2.055 Cr
-3.145 -8.686 -5.441 O
0.016 -9.377 -1.145 O
1.541 -10.740 1.290 O
-4.919 -7.328 -3.179 O
-3.868 -6.573 -0.843 O
0.317 -11.939 -4.756 O
-2.609 -8.928 -0.614 O
-2.242 -11.145 -4.727 O
-3.659 -9.690 -2.994 O
-1.023 -9.949 1.276 O
-4.871 -10.724 -5.220 O
-1.671 -11.448 -0.921 O
-5.245 -8.861 -0.999 O
-1.656 -13.736 -4.944 O
-1.349 -13.768 -2.224 O
-5.503 -8.427 1.691 O
-7.205 -10.193 -4.048 O
-0.783 -13.574 0.419 O
-5.867 -12.426 -3.410 O
-3.263 -12.658 0.857 O
-4.148 -10.643 2.366 O
-3.819 -12.830 -1.749 O
-3.094 -15.424 -3.439 O
-6.723 -10.517 0.504 O
0.867 -1.379 -0.518 O
4.495 -6.287 -4.461 O
1.591 -3.974 -2.208 O
1.921 -6.160 -6.322 O
1.036 -4.146 -4.814 O
3.639 -4.378 -0.546 O
-1.445 -3.229 -4.376 O
4.978 -6.611 0.091 O
-0.878 -3.036 -1.733 O
3.276 -8.377 -5.648 O
-0.571 -3.067 0.987 O
3.018 -7.943 -2.957 O
-0.556 -5.355 -3.036 O
2.643 -6.079 1.263 O
-1.204 -6.855 -5.233 O
1.432 -7.114 -0.963 O
0.015 -5.659 0.770 O
0.382 -7.876 -3.343 O
-2.545 -4.864 0.799 O
1.641 -10.231 -3.114 O
-3.768 -6.064 -5.247 O
2.691 -9.476 -0.778 O
-2.243 -7.426 -2.812 O
0.918 -8.118 1.485 O

=====

[16]
CrO3 GGA-PBEsol optimized geometry; total energy = -8.023 eV per atom; total moment = 0.0 μB/f.u.; raw formation energy = -1.526 eV per atom
1.0
5.011 0.000 0.000
0.000 6.248 0.096
0.000 -2.630 8.359
Cr O
4 12
Cartesian
4.911 0.276 2.450 Cr
2.606 -1.039 6.629 Cr
2.405 4.657 1.826 Cr
0.100 3.342 6.005 Cr
4.551 2.057 6.722 O
4.268 0.677 3.829 O
2.046 0.246 5.912 O
3.706 5.793 1.511 O
1.200 -0.859 2.765 O
3.249 -0.638 8.008 O
1.762 4.256 0.446 O
3.811 4.478 5.690 O
1.305 -2.174 6.944 O
2.966 3.372 2.543 O
0.744 2.941 4.626 O
0.460 1.561 1.733 O

=====

[17]
Cr6O11 GGA-PBEsol optimized geometry; total energy = -8.938 eV per atom; total moment = 14.0 μB/f.u.; raw formation energy = -1.927 eV per atom; DOS at the Fermi energy = 10.55 states/eV/cell
1.0
5.308 -0.002 0.004
2.110 6.570 -0.003
1.453 -0.400 9.207
Cr O
12 22
Cartesian
3.640 3.971 5.395 Cr
5.232 2.197 3.813 Cr
2.578 0.688 5.410 Cr
6.294 5.480 3.798 Cr
4.310 1.980 0.566 Cr
4.562 4.188 8.642 Cr
2.568 3.643 2.215 Cr
6.304 2.525 6.993 Cr
1.502 0.413 2.214 Cr
7.370 5.755 6.994 Cr
3.470 0.899 8.657 Cr
5.402 5.269 0.550 Cr
2.533 1.406 7.187 O
6.339 4.761 2.021 O
5.252 0.381 3.233 O
3.620 5.787 5.974 O
2.572 4.420 3.897 O
6.299 1.748 5.310 O
2.521 2.980 0.311 O
6.351 3.187 8.896 O
0.590 1.075 0.631 O
8.281 5.093 8.577 O
2.611 -0.042 3.643 O
6.261 6.210 5.564 O
3.658 2.154 4.855 O
5.214 4.014 4.352 O
3.580 5.157 1.354 O
5.291 1.011 7.854 O
1.513 2.228 2.770 O
7.359 3.940 6.438 O
3.096 0.554 1.030 O
5.776 5.614 8.177 O
4.194 2.677 2.276 O
4.678 3.491 6.931 O

=====

[18]
CrO3 GGA-PBEsol optimized geometry; total energy = -8.050 eV per atom; total moment = 0.0 μB/f.u.; raw formation energy = -1.553 eV per atom; DOS at the Fermi energy = 0.00 states/eV/cell
1.0
-0.886 2.746 -3.794
-3.873 -2.297 2.235
-0.700 4.533 3.445
Cr O
2 6
Cartesian
-3.691 0.407 1.102 Cr
-1.784 4.625 0.716 Cr
-1.558 3.705 1.972 O
-3.325 4.648 0.372 O
-2.363 1.044 0.534 O
-3.333 -0.485 2.348 O
-0.552 1.712 -2.365 O
-0.902 3.979 -0.643 O

=====

[19]
CrO3 GGA-PBEsol optimized geometry; total energy = -8.043 eV per atom; total moment = 0.0 μB/f.u.; raw formation energy = -1.546 eV per atom; DOS at the Fermi energy = 0.00 states/eV/cell
1.0
-0.739 5.596 -1.080
-2.936 2.515 5.652
5.647 3.025 2.420
Cr O
4 12
Cartesian
-0.166 2.842 2.304 Cr
0.974 5.730 1.196 Cr
0.997 5.407 5.797 Cr
2.137 8.295 4.688 Cr
-0.729 2.495 0.883 O
-1.364 2.863 3.336 O
0.496 5.388 -0.258 O
0.581 4.423 2.290 O
-0.573 5.222 5.808 O
0.243 7.223 1.738 O
1.728 3.914 5.255 O
2.545 5.915 1.185 O
1.390 6.714 4.703 O
1.475 5.749 7.250 O
3.335 8.274 3.657 O
2.701 8.642 6.109 O